Entry from Alexandria via LeMat-Bulk: a geometry-optimized LiNi2Os structure (PBE).

Cell lengths 4.335, 4.335, 4.335 Å; angles 129.47, 129.47, 74.26 degrees
Site moments in Bohr magnetons follow the coordinates.
Fractional positions:
1 Li 0.750 0.250 0.500  -0.01
2 Ni 0.000 0.000 0.000  0.43
3 Ni 0.500 0.500 0.000  0.43
4 Os 0.250 0.750 0.500  0.73

Symmetry: I4/mmm, No. 139
E_tot in eV for the cell shown: -23.8
Relative energy among the computed polymorphs in eV per atom: 0.202
Size of the total moment in μB/cell: 1.56